Entry 1:
# PBE KBiICl2, optimized geometry
data_KBiICl2
_chemical_formula_sum 'K1 Bi1 I1 Cl2'
_symmetry_space_group_name_H-M 'P 1'
_symmetry_Int_Tables_number 1
_symmetry_space_group_name_Hall 'P 1'
_cell_length_a 5.550
_cell_length_b 5.550
_cell_length_c 6.592
_cell_angle_alpha 90.00
_cell_angle_beta 90.00
_cell_angle_gamma 90.00
loop_
_atom_site_label
_atom_site_type_symbol
_atom_site_fract_x
_atom_site_fract_y
_atom_site_fract_z
K1 K 0.000 0.000 0.000
Bi1 Bi 0.500 0.500 0.500
I1 I 0.500 0.500 0.000
Cl1 Cl 0.000 0.500 0.500
Cl2 Cl 0.500 0.000 0.500
# Calculated density, g/cm3: 3.6
# V, Å³/f.u.: 203.1
# Total magnetization, Bohr magnetons per cell: 0.0
# ΔE_f (raw), meV/atom: -982



Entry 2:
# PBE CrHIrRh2, optimized geometry
data_CrHIrRh2
_chemical_formula_sum 'Cr1 H1 Ir1 Rh2'
_symmetry_space_group_name_H-M 'P 1'
_symmetry_Int_Tables_number 1
_symmetry_space_group_name_Hall 'P 1'
_cell_length_a 3.873
_cell_length_b 3.873
_cell_length_c 3.893
_cell_angle_alpha 90.00
_cell_angle_beta 90.00
_cell_angle_gamma 90.00
loop_
_atom_site_label
_atom_site_type_symbol
_atom_site_fract_x
_atom_site_fract_y
_atom_site_fract_z
Cr1 Cr 0.000 0.000 0.000
H1 H 0.500 0.500 0.500
Ir1 Ir 0.500 0.500 0.000
Rh1 Rh 0.000 0.500 0.500
Rh2 Rh 0.500 0.000 0.500
# Calculated density, g/cm3: 12.8
# V, Å³/f.u.: 58.4
# Total magnetization, Bohr magnetons per cell: 1.9
# Energy above the lowest structure with this stoichiometry, meV/atom: 20



no.,calculated total energy (eV/f.u.)
1,-15.13
2,-36.87